(1)
The following is a DFT calculation (PBE) of a geometry-optimized NaCd8Hg6 structure.

Values from the calculation:
Its space-group type is No. 148.

```
data_NaCd8Hg6
_cell_length_a 7.869
_cell_length_b 7.869
_cell_length_c 7.869
_cell_angle_alpha 66.34
_cell_angle_beta 66.34
_cell_angle_gamma 66.34
_symmetry_space_group_name_H-M 'P 1'
_symmetry_Int_Tables_number 1
loop_
_symmetry_equiv_pos_as_xyz
'x,y,z'
loop_
_atom_site_label
_atom_site_type_symbol
_atom_site_fract_x
_atom_site_fract_y
_atom_site_fract_z
_atom_site_occupancy
Na1 Na 0.000 0.000 0.000 1
Cd1 Cd 0.102 0.784 0.440 1
Cd2 Cd 0.216 0.560 0.898 1
Cd3 Cd 0.326 0.326 0.326 1
Cd4 Cd 0.440 0.102 0.784 1
Cd5 Cd 0.560 0.898 0.216 1
Cd6 Cd 0.674 0.674 0.674 1
Cd7 Cd 0.784 0.440 0.102 1
Cd8 Cd 0.898 0.216 0.560 1
Hg1 Hg 0.074 0.397 0.721 1
Hg2 Hg 0.279 0.926 0.603 1
Hg3 Hg 0.397 0.721 0.074 1
Hg4 Hg 0.603 0.279 0.926 1
Hg5 Hg 0.721 0.074 0.397 1
Hg6 Hg 0.926 0.603 0.279 1
```

(2)
The following is a DFT calculation (PBE) of a geometry-optimized Na2CdHg2 structure.

Values from the calculation:
Its space-group type is No. 12.

```
data_Na2CdHg2
_cell_length_a 5.993
_cell_length_b 5.993
_cell_length_c 9.884
_cell_angle_alpha 101.07
_cell_angle_beta 101.07
_cell_angle_gamma 48.48
_symmetry_space_group_name_H-M 'P 1'
_symmetry_Int_Tables_number 1
loop_
_symmetry_equiv_pos_as_xyz
'x,y,z'
loop_
_atom_site_label
_atom_site_type_symbol
_atom_site_fract_x
_atom_site_fract_y
_atom_site_fract_z
_atom_site_occupancy
Na1 Na 0.057 0.057 0.358 1
Na2 Na 0.164 0.164 0.052 1
Na3 Na 0.836 0.836 0.948 1
Na4 Na 0.943 0.943 0.642 1
Cd1 Cd 0.258 0.258 0.713 1
Cd2 Cd 0.742 0.742 0.287 1
Hg1 Hg 0.363 0.363 0.423 1
Hg2 Hg 0.468 0.468 0.142 1
Hg3 Hg 0.532 0.532 0.858 1
Hg4 Hg 0.637 0.637 0.577 1
```

(3)
The following is a DFT calculation (PBE) of a geometry-optimized Na2Cd2Hg5 structure.

Values from the calculation:
Its space-group type is No. 46.

```
data_Na2Cd2Hg5
_cell_length_a 9.711
_cell_length_b 9.711
_cell_length_c 9.711
_cell_angle_alpha 70.57
_cell_angle_beta 130.22
_cell_angle_gamma 133.39
_symmetry_space_group_name_H-M 'P 1'
_symmetry_Int_Tables_number 1
loop_
_symmetry_equiv_pos_as_xyz
'x,y,z'
loop_
_atom_site_label
_atom_site_type_symbol
_atom_site_fract_x
_atom_site_fract_y
_atom_site_fract_z
_atom_site_occupancy
Na1 Na 0.041 0.130 0.171 1
Na2 Na 0.041 0.370 0.411 1
Na3 Na 0.959 0.630 0.589 1
Na4 Na 0.959 0.870 0.829 1
Cd1 Cd 0.349 0.616 0.232 1
Cd2 Cd 0.384 0.116 0.768 1
Cd3 Cd 0.645 0.145 0.500 1
Cd4 Cd 0.645 0.645 0.000 1
Hg1 Hg 0.133 0.281 0.792 1
Hg2 Hg 0.133 0.841 0.352 1
Hg3 Hg 0.483 0.028 0.145 1
Hg4 Hg 0.483 0.838 0.955 1
Hg5 Hg 0.489 0.341 0.208 1
Hg6 Hg 0.489 0.781 0.648 1
Hg7 Hg 0.510 0.443 0.567 1
Hg8 Hg 0.876 0.943 0.433 1
Hg9 Hg 0.883 0.338 0.855 1
Hg10 Hg 0.883 0.528 0.045 1
```

(4)
The following is a DFT calculation (PBE) of a geometry-optimized Na4CdHg4 structure.

Values from the calculation:
Its space-group type is No. 121.

```
data_Na4CdHg4
_cell_length_a 7.108
_cell_length_b 7.108
_cell_length_c 7.108
_cell_angle_alpha 113.90
_cell_angle_beta 113.90
_cell_angle_gamma 100.93
_symmetry_space_group_name_H-M 'P 1'
_symmetry_Int_Tables_number 1
loop_
_symmetry_equiv_pos_as_xyz
'x,y,z'
loop_
_atom_site_label
_atom_site_type_symbol
_atom_site_fract_x
_atom_site_fract_y
_atom_site_fract_z
_atom_site_occupancy
Na1 Na 0.000 0.500 0.500 1
Na2 Na 0.156 0.156 0.000 1
Na3 Na 0.500 0.000 0.500 1
Na4 Na 0.844 0.844 0.000 1
Cd1 Cd 0.500 0.500 0.000 1
Hg1 Hg 0.079 0.549 0.000 1
Hg2 Hg 0.451 0.451 0.530 1
Hg3 Hg 0.549 0.079 0.000 1
Hg4 Hg 0.921 0.921 0.470 1
```

(5)
The following is a DFT calculation (PBE) of a geometry-optimized NaCdHg2 structure.

Values from the calculation:
Its space-group type is No. 123.

```
data_NaCdHg2
_cell_length_a 3.497
_cell_length_b 3.497
_cell_length_c 8.155
_cell_angle_alpha 90.00
_cell_angle_beta 90.00
_cell_angle_gamma 90.00
_symmetry_space_group_name_H-M 'P 1'
_symmetry_Int_Tables_number 1
loop_
_symmetry_equiv_pos_as_xyz
'x,y,z'
loop_
_atom_site_label
_atom_site_type_symbol
_atom_site_fract_x
_atom_site_fract_y
_atom_site_fract_z
_atom_site_occupancy
Na1 Na 0.000 0.000 0.000 1
Cd1 Cd 0.000 0.000 0.500 1
Hg1 Hg 0.500 0.500 0.251 1
Hg2 Hg 0.500 0.500 0.749 1
```

(6)
The following is a DFT calculation (PBE) of a geometry-optimized NaCd6Hg structure.

Values from the calculation:
Its space-group type is No. 123.

```
data_NaCd6Hg
_cell_length_a 4.437
_cell_length_b 4.437
_cell_length_c 9.561
_cell_angle_alpha 90.00
_cell_angle_beta 90.00
_cell_angle_gamma 90.00
_symmetry_space_group_name_H-M 'P 1'
_symmetry_Int_Tables_number 1
loop_
_symmetry_equiv_pos_as_xyz
'x,y,z'
loop_
_atom_site_label
_atom_site_type_symbol
_atom_site_fract_x
_atom_site_fract_y
_atom_site_fract_z
_atom_site_occupancy
Na1 Na 0.000 0.000 0.000 1
Cd1 Cd 0.000 0.500 0.248 1
Cd2 Cd 0.000 0.500 0.752 1
Cd3 Cd 0.500 0.000 0.248 1
Cd4 Cd 0.500 0.000 0.752 1
Cd5 Cd 0.500 0.500 0.000 1
Cd6 Cd 0.500 0.500 0.500 1
Hg1 Hg 0.000 0.000 0.500 1
```

(7)
The following is a DFT calculation (PBE) of a geometry-optimized Na2Cd3Hg5 structure.

Values from the calculation:
Its space-group type is No. 72.

```
data_Na2Cd3Hg5
_cell_length_a 9.807
_cell_length_b 9.807
_cell_length_c 9.807
_cell_angle_alpha 100.55
_cell_angle_beta 91.78
_cell_angle_gamma 141.81
_symmetry_space_group_name_H-M 'P 1'
_symmetry_Int_Tables_number 1
loop_
_symmetry_equiv_pos_as_xyz
'x,y,z'
loop_
_atom_site_label
_atom_site_type_symbol
_atom_site_fract_x
_atom_site_fract_y
_atom_site_fract_z
_atom_site_occupancy
Na1 Na 0.237 0.131 0.367 1
Na2 Na 0.263 0.631 0.894 1
Na3 Na 0.737 0.369 0.106 1
Na4 Na 0.763 0.869 0.633 1
Cd1 Cd 0.140 0.869 0.009 1
Cd2 Cd 0.250 0.750 0.500 1
Cd3 Cd 0.360 0.369 0.729 1
Cd4 Cd 0.640 0.631 0.271 1
Cd5 Cd 0.750 0.250 0.500 1
Cd6 Cd 0.860 0.131 0.991 1
Hg1 Hg 0.157 0.392 0.549 1
Hg2 Hg 0.250 0.250 0.000 1
Hg3 Hg 0.250 0.510 0.260 1
Hg4 Hg 0.250 0.990 0.740 1
Hg5 Hg 0.343 0.892 0.236 1
Hg6 Hg 0.657 0.108 0.764 1
Hg7 Hg 0.750 0.010 0.260 1
Hg8 Hg 0.750 0.490 0.740 1
Hg9 Hg 0.750 0.750 0.000 1
Hg10 Hg 0.843 0.608 0.451 1
```

(8)
The following is a DFT calculation (PBE) of a geometry-optimized Na2CdHg7 structure.

Values from the calculation:
Its space-group type is No. 156.

```
data_Na2CdHg7
_cell_length_a 5.061
_cell_length_b 5.061
_cell_length_c 12.632
_cell_angle_alpha 90.00
_cell_angle_beta 90.00
_cell_angle_gamma 120.00
_symmetry_space_group_name_H-M 'P 1'
_symmetry_Int_Tables_number 1
loop_
_symmetry_equiv_pos_as_xyz
'x,y,z'
loop_
_atom_site_label
_atom_site_type_symbol
_atom_site_fract_x
_atom_site_fract_y
_atom_site_fract_z
_atom_site_occupancy
Na1 Na 0.000 0.000 0.000 1
Na2 Na 0.333 0.667 0.673 1
Cd1 Cd 0.667 0.333 0.308 1
Hg1 Hg 0.000 0.000 0.240 1
Hg2 Hg 0.000 0.000 0.505 1
Hg3 Hg 0.000 0.000 0.760 1
Hg4 Hg 0.333 0.667 0.123 1
Hg5 Hg 0.333 0.667 0.404 1
Hg6 Hg 0.667 0.333 0.586 1
Hg7 Hg 0.667 0.333 0.860 1
```

(9)
The following is a DFT calculation (PBE) of a geometry-optimized Na3Cd7Hg4 structure.

Values from the calculation:
Its space-group type is No. 12.

```
data_Na3Cd7Hg4
_cell_length_a 8.965
_cell_length_b 8.965
_cell_length_c 10.390
_cell_angle_alpha 124.06
_cell_angle_beta 124.06
_cell_angle_gamma 32.06
_symmetry_space_group_name_H-M 'P 1'
_symmetry_Int_Tables_number 1
loop_
_symmetry_equiv_pos_as_xyz
'x,y,z'
loop_
_atom_site_label
_atom_site_type_symbol
_atom_site_fract_x
_atom_site_fract_y
_atom_site_fract_z
_atom_site_occupancy
Na1 Na 0.000 0.000 0.000 1
Na2 Na 0.287 0.287 0.283 1
Na3 Na 0.713 0.713 0.717 1
Cd1 Cd 0.000 0.000 0.500 1
Cd2 Cd 0.144 0.144 0.426 1
Cd3 Cd 0.343 0.343 0.989 1
Cd4 Cd 0.496 0.496 0.659 1
Cd5 Cd 0.504 0.504 0.341 1
Cd6 Cd 0.657 0.657 0.011 1
Cd7 Cd 0.856 0.856 0.574 1
Hg1 Hg 0.134 0.134 0.847 1
Hg2 Hg 0.346 0.346 0.716 1
Hg3 Hg 0.654 0.654 0.284 1
Hg4 Hg 0.866 0.866 0.153 1
```

(10)
The following is a DFT calculation (PBE) of a geometry-optimized NaCd3Hg4 structure.

Values from the calculation:
Its space-group type is No. 25.

```
data_NaCd3Hg4
_cell_length_a 3.276
_cell_length_b 5.219
_cell_length_c 11.757
_cell_angle_alpha 90.00
_cell_angle_beta 90.00
_cell_angle_gamma 90.00
_symmetry_space_group_name_H-M 'P 1'
_symmetry_Int_Tables_number 1
loop_
_symmetry_equiv_pos_as_xyz
'x,y,z'
loop_
_atom_site_label
_atom_site_type_symbol
_atom_site_fract_x
_atom_site_fract_y
_atom_site_fract_z
_atom_site_occupancy
Na1 Na 0.000 0.000 0.000 1
Cd1 Cd 0.000 0.500 0.833 1
Cd2 Cd 0.500 0.000 0.505 1
Cd3 Cd 0.500 0.500 0.337 1
Hg1 Hg 0.000 0.000 0.260 1
Hg2 Hg 0.000 0.500 0.574 1
Hg3 Hg 0.500 0.000 0.765 1
Hg4 Hg 0.500 0.500 0.081 1
```

Record-wise total DFT energy (no corrections) values, in eV/f.u.: -10.31 -5.06 -6.68 -7.98 -3.45 -7.25 -7.58 -6.66 -13.16 -5.58
Record-wise N(E_F) values, in states/eV per atom: 0.294 0.320 0.338 0.295 0.253 0.527 0.380 0.277 0.291 0.389